Here is SbTe2Pt after structural relaxation from Alexandria via LeMat-Bulk. Energies are from PBE.

Output
theoretical density: 10.01 g/cm3
space group: Pmmm
formation energy from raw total energies: 336 meV/atom
uncorrected energy: -15.1 eV for the cell shown
magnetic moment: 0.000 μB per cell

Cell lengths 3.443, 5.277, 5.221 Å; angles 90.00, 90.00, 90.00 degrees
Fractional coordinates of all 4 atoms:
Te (0.500, 0.500, 0.000)
Sb (0.000, 0.500, 0.500)
Pt (0.500, 0.000, 0.500)
Te (0.000, 0.000, 0.000)